The following is a DFT calculation (PBE-GGA) of an optimized crystal structure of LiSe2S.

Calculated values
Formation energy from raw total energies ... 286 meV/atom
DOS(E_F) ... 1.04 states/eV per atom
Space group ... Fm-3m (225)
Total DFT energy (no corrections) ... -2.9667 eV per atom

Lattice parameters (Å, degrees): 4.7263 4.7263 4.7263 60.00 60.00 60.00
Fractional coordinates of all 4 atoms:
1 Li 0.0000 0.0000 0.0000
2 Se 0.2500 0.2500 0.2500
3 Se 0.7500 0.7500 0.7500
4 S 0.5000 0.5000 0.5000

The following is a DFT calculation (PBE-GGA) of an optimized crystal structure of Li2SeS.

Calculated values
Formation energy from raw total energies ... -742 meV/atom
DOS(E_F) ... 0.14 states/eV per atom
Space group ... I-42d (122)
Total DFT energy (no corrections) ... -3.6017 eV per atom

Lattice parameters (Å, degrees): 5.6847 5.6847 5.6847 102.62 102.62 124.28
Fractional coordinates of all 8 atoms:
1 Li 0.0920 0.6250 0.9670
2 Li 0.3750 0.3420 0.4670
3 Li 0.6580 0.1250 0.0330
4 Li 0.8750 0.9080 0.5330
5 Se 0.2500 0.7500 0.5000
6 Se 0.5000 0.5000 0.0000
7 S 0.0000 0.0000 0.0000
8 S 0.7500 0.2500 0.5000

The following is a DFT calculation (PBE-GGA) of an optimized crystal structure of Li2SeS.

Calculated values
Formation energy from raw total energies ... -626 meV/atom
DOS(E_F) ... 0.55 states/eV per atom
Space group ... Fm-3m (225)
Total DFT energy (no corrections) ... -3.4857 eV per atom

Lattice parameters (Å, degrees): 4.5272 4.5272 4.5272 60.00 60.00 60.00
Fractional coordinates of all 4 atoms:
1 Li 0.2500 0.2500 0.2500
2 Li 0.7500 0.7500 0.7500
3 Se 0.0000 0.0000 0.0000
4 S 0.5000 0.5000 0.5000

The following is a DFT calculation (PBE-GGA) of an optimized crystal structure of LiSeS2.

Calculated values
Formation energy from raw total energies ... 217 meV/atom
DOS(E_F) ... 0.65 states/eV per atom
Space group ... Fm-3m (225)
Total DFT energy (no corrections) ... -3.1965 eV per atom

Lattice parameters (Å, degrees): 4.6097 4.6097 4.6097 60.00 60.00 60.00
Fractional coordinates of all 4 atoms:
1 Li 0.0000 0.0000 0.0000
2 Se 0.5000 0.5000 0.5000
3 S 0.2500 0.2500 0.2500
4 S 0.7500 0.7500 0.7500

The following is a DFT calculation (PBE-GGA) of an optimized crystal structure of Li2SeS.

Calculated values
Formation energy from raw total energies ... -642 meV/atom
DOS(E_F) ... 0.47 states/eV per atom
Space group ... R-3m (166)
Total DFT energy (no corrections) ... -3.5019 eV per atom

Lattice parameters (Å, degrees): 8.2038 8.2038 8.2038 23.11 23.11 23.11
Fractional coordinates of all 4 atoms:
1 Li 0.1059 0.1059 0.1059
2 Li 0.8941 0.8941 0.8941
3 Se 0.0000 0.0000 0.0000
4 S 0.5000 0.5000 0.5000

The following is a DFT calculation (PBE-GGA) of an optimized crystal structure of LiSmSeS.

Calculated values
Formation energy from raw total energies ... -1534 meV/atom
Space group ... P4/nmm (129)
Total DFT energy (no corrections) ... -5.0952 eV per atom

Lattice parameters (Å, degrees): 4.4895 4.4895 8.9430 90.00 90.00 90.00
Fractional coordinates of all 8 atoms:
1 Li 0.2500 0.7500 0.0000
2 Li 0.7500 0.2500 0.0000
3 Sm 0.2500 0.2500 0.3291
4 Sm 0.7500 0.7500 0.6709
5 Se 0.2500 0.2500 0.8515
6 Se 0.7500 0.7500 0.1485
7 S 0.2500 0.7500 0.5000
8 S 0.7500 0.2500 0.5000